# 1
Crystalline V3CuIr at its relaxed geometry. Source: Alexandria via LeMat-Bulk, functional PBE-GGA.

Results
E above lowest polymorph ... 0.0 kJ per mole of atoms
Calculated formation energy ... 1.128 eV/atom
Size of the total moment ... 0.0001 μB per atom

a = 4.582 Å, b = 4.582 Å, c = 4.582 Å
α = 90.00°, β = 90.00°, γ = 90.00°
Element x y z (fractional)
V 0.000 0.000 0.500
V 0.000 0.500 0.000
V 0.500 0.000 0.000
Cu 0.500 0.500 0.500
Ir 0.000 0.000 0.000


# 2
Crystalline TmCu4 at its relaxed geometry. Source: Alexandria via LeMat-Bulk, functional PBE-GGA.

Results
Calculated formation energy ... 1.396 eV/atom
Size of the total moment ... 0.0000 μB per atom

a = 4.947 Å, b = 4.947 Å, c = 4.947 Å
α = 90.00°, β = 90.00°, γ = 90.00°
Element x y z (fractional)
Tm 0.000 0.000 0.000
Cu 0.000 0.000 0.500
Cu 0.000 0.500 0.000
Cu 0.500 0.000 0.000
Cu 0.500 0.500 0.500


# 3
Crystalline SnPd2Pb at its relaxed geometry. Source: Alexandria via LeMat-Bulk, functional PBE-GGA.

Results
E above lowest polymorph ... 13.7 kJ per mole of atoms
Calculated formation energy ... -0.251 eV/atom
Size of the total moment ... 0.0000 μB per atom

a = 4.844 Å, b = 4.844 Å, c = 3.418 Å
α = 90.00°, β = 90.00°, γ = 90.00°
Element x y z (fractional)
Sn 0.000 0.000 0.000
Pd 0.000 0.500 0.500
Pd 0.500 0.000 0.500
Pb 0.500 0.500 0.000


# 4
Crystalline Re2Mo5W2 at its relaxed geometry. Source: Alexandria via LeMat-Bulk, functional PBE-GGA.

Results
Calculated formation energy ... 0.028 eV/atom
Size of the total moment ... 0.0000 μB per atom

a = 2.733 Å, b = 6.878 Å, c = 7.729 Å
α = 100.73°, β = 90.18°, γ = 97.37°
Element x y z (fractional)
Re 0.163 0.000 0.334
Re 0.837 0.000 0.666
Mo 0.279 0.332 0.888
Mo 0.388 0.668 0.445
Mo 0.500 0.000 0.000
Mo 0.612 0.332 0.555
Mo 0.721 0.668 0.112
W 0.059 0.668 0.778
W 0.941 0.332 0.222